Record 1
Computed, not measured: a crystal of Ba3SbI3 relaxed with PBEsol at the SCAN level of DFT.

Cell lengths 12.0840, 12.0840, 12.0840 Å; angles 109.47, 109.47, 109.47 degrees
Atoms (fractional coordinates):
Ba1 0.5110 0.7555 0.0055
Ba2 0.2500 0.5055 0.4945
Ba3 0.2500 0.7445 0.2555
Ba4 0.7555 0.2500 0.2445
Ba5 0.7445 0.9890 0.4945
Ba6 0.9890 0.9945 0.2445
Ba7 0.9945 0.2500 0.0055
Ba8 0.5055 0.5110 0.2555
Ba9 0.5055 0.9945 0.7500
Ba10 0.9945 0.7445 0.4890
Ba11 0.7445 0.7555 0.7500
Ba12 0.7555 0.5055 0.0110
Sb1 0.7500 0.0000 0.0000
Sb2 0.5000 0.7500 0.5000
Sb3 0.0000 0.5000 0.2500
Sb4 0.7500 0.7500 0.2500
I1 0.7500 0.5005 0.4995
I2 0.5010 0.2505 0.0005
I3 0.9990 0.9995 0.7495
I4 0.2495 0.9990 0.4995
I5 0.9995 0.7500 0.0005
I6 0.7500 0.2495 0.7505
I7 0.2505 0.7500 0.7495
I8 0.5005 0.5010 0.7505
I9 0.2505 0.5005 0.0010
I10 0.2495 0.2505 0.2500
I11 0.9995 0.2495 0.4990
I12 0.5005 0.9995 0.2500

Summary:
Total energy = -39.76 eV per atom
Space-group type = I4_132, No. 214
Raw formation energy = -40.20 kcal/mol of atoms

---

Record 2
Computed, not measured: a crystal of TaWAu2 relaxed with PBEsol at the SCAN level of DFT.

Cell lengths 2.7914, 2.7914, 8.4396 Å; angles 90.00, 90.00, 90.00 degrees
Atoms (fractional coordinates):
Au1 0.0000 0.0000 0.7475
Au2 0.0000 0.0000 0.2525
Ta1 0.5000 0.5000 0.0000
W1 0.5000 0.5000 0.5000

Summary:
D(E_F) = 0.82 states/eV per atom
Total energy = -68.48 eV per atom
Space-group type = P4/mmm, No. 123
Relative energy among the computed polymorphs = 136 meV/atom

---

Record 3
Computed, not measured: a crystal of RuPbAu2 relaxed with PBEsol at the SCAN level of DFT.

Cell lengths 4.3106, 4.8643, 4.3106 Å; angles 63.70, 90.00, 116.30 degrees
Atoms (fractional coordinates):
Au1 0.0000 0.0000 0.0000
Au2 0.2500 0.5000 0.2500
Pb1 0.5000 0.0000 0.5000
Ru1 0.7500 0.5000 0.7500

Summary:
D(E_F) = 0.60 states/eV per atom
Total energy = -61.79 eV per atom
Space-group type = I-4m2, No. 119